[1]
Density functional theory data (PBE) for Cr2CoRu after structural relaxation.

Lattice parameters (Å, degrees): 4.4261 4.4261 4.4261 131.40 131.40 71.18
Closest atoms and distances in Å follow each position.
Fractional coordinates of all 4 atoms:
Ru: 0.2500 0.7500 0.5000  8 Cr 2.56, 4 Co 2.58
Cr: 0.5000 0.5000 0.0000  4 Co 2.56, 4 Ru 2.56, 4 Cr 2.58
Cr: 0.0000 0.0000 0.0000  4 Ru 2.56, 4 Co 2.56, 4 Cr 2.58
Co: 0.7500 0.2500 0.5000  8 Cr 2.56, 4 Ru 2.58

Calculated values
The formation energy is 0.07 eV per atom. For the density of states at the Fermi level, the calculation gives 5.28 states/eV/f.u.

---

[2]
Density functional theory data (PBE) for BaFe2Ir after structural relaxation.

Lattice parameters (Å, degrees): 4.7682 4.7682 4.7682 60.00 60.00 60.00
Closest atoms and distances in Å follow each position.
Fractional coordinates of all 4 atoms:
Fe: 0.2500 0.2500 0.2500  4 Ba 2.92, 4 Fe 2.92
Fe: 0.0000 0.0000 0.0000  4 Ir 2.92, 4 Fe 2.92
Ba: 0.5000 0.5000 0.5000  4 Ir 2.92, 4 Fe 2.92
Ir: 0.7500 0.7500 0.7500  4 Ba 2.92, 4 Fe 2.92

Calculated values
The formation energy is 0.95 eV per atom. For the density of states at the Fermi level, the calculation gives 5.30 states/eV/f.u.

---

[3]
Density functional theory data (PBE) for MgGeRu3 after structural relaxation.

Lattice parameters (Å, degrees): 4.5455 4.5455 4.5455 90.00 90.00 90.00
Closest atoms and distances in Å follow each position.
Fractional coordinates of all 5 atoms:
Ru: 0.0000 0.5000 0.0000  2 Ge 2.27
Ru: 0.0000 0.0000 0.5000  2 Ge 2.27
Ru: 0.5000 0.0000 0.0000  2 Ge 2.27
Mg: 0.5000 0.5000 0.5000  12 Ru 3.21
Ge: 0.0000 0.0000 0.0000  6 Ru 2.27

Calculated values
The formation energy is 0.80 eV per atom. For the density of states at the Fermi level, the calculation gives 6.17 states/eV/f.u. The value obtained for the energy above the most stable polymorph in this dataset is 0 meV/atom.

---

[4]
Density functional theory data (PBE) for Ta2CoRh after structural relaxation.

Lattice parameters (Å, degrees): 4.9925 4.9925 4.9925 135.17 135.12 65.31
Closest atoms and distances in Å follow each position.
Fractional coordinates of all 4 atoms:
Ta: 0.0000 0.0000 0.0000  4 Co 2.69, 4 Rh 2.84, 4 Ta 2.84
Ta: 0.7499 0.2499 0.5000  4 Rh 2.69, 4 Co 2.83-2.84, 4 Ta 2.84
Rh: 0.2500 0.7500 0.5000  8 Ta 2.69-2.84, 4 Co 2.84
Co: 0.5001 0.5001 0.0000  8 Ta 2.69-2.84, 4 Rh 2.84

Calculated values
The formation energy is -0.19 eV per atom. For the density of states at the Fermi level, the calculation gives 3.24 states/eV/f.u.

---

[5]
Density functional theory data (PBE) for Dy3Er2Tm3 after structural relaxation.

Lattice parameters (Å, degrees): 5.4352 6.4542 15.7512 90.00 90.00 114.90
Closest atoms and distances in Å follow each position.
Fractional coordinates of all 16 atoms:
Dy: 0.6153 0.2307 0.4489  1 Dy 3.14, 3 Er 3.24-3.42, 1 Tm 3.44
Dy: 0.3847 0.7693 0.5511  1 Dy 3.14, 3 Er 3.24-3.42, 1 Tm 3.44
Dy: 0.6153 0.2307 0.0511  1 Dy 3.14, 3 Er 3.24-3.42, 1 Tm 3.44
Dy: 0.4578 0.9156 0.2500  1 Tm 3.26, 2 Er 3.35, 2 Dy 3.64
Dy: 0.5422 0.0844 0.7500  1 Tm 3.26, 2 Er 3.35, 2 Dy 3.64
Dy: 0.3847 0.7693 0.9489  1 Dy 3.14, 3 Er 3.24-3.42, 1 Tm 3.44
Tm: 0.9201 0.8401 0.4102  2 Tm 3.32-3.39, 5 Dy 3.53-3.62, 3 Er 3.59-3.63
Tm: 0.2640 0.5280 0.7500  3 Dy 3.26-3.44, 2 Tm 3.32, 4 Er 3.32
Tm: 0.0799 0.1599 0.5898  2 Tm 3.32-3.39, 5 Dy 3.53-3.62, 3 Er 3.59-3.63
Tm: 0.0799 0.1599 0.9102  2 Tm 3.32-3.39, 5 Dy 3.53-3.62, 3 Er 3.59-3.63
Tm: 0.9201 0.8401 0.0898  2 Tm 3.32-3.39, 5 Dy 3.53-3.62, 3 Er 3.59-3.63
Tm: 0.7360 0.4720 0.2500  3 Dy 3.26-3.44, 2 Tm 3.32, 4 Er 3.32
Er: 0.2221 0.4442 0.1293  4 Dy 3.24-3.42, 3 Tm 3.32-3.59
Er: 0.7779 0.5558 0.6293  4 Dy 3.24-3.42, 3 Tm 3.32-3.59
Er: 0.7779 0.5558 0.8707  4 Dy 3.24-3.42, 3 Tm 3.32-3.59
Er: 0.2221 0.4442 0.3707  4 Dy 3.24-3.42, 3 Tm 3.32-3.59

Calculated values
The formation energy is 0.15 eV per atom. For the density of states at the Fermi level, the calculation gives 14.50 states/eV/f.u.

---

[6]
Density functional theory data (PBE) for Sr4ZrPa3As8 after structural relaxation.

Lattice parameters (Å, degrees): 8.3876 8.6080 8.3877 119.16 120.00 90.00
Closest atoms and distances in Å follow each position.
Fractional coordinates of all 16 atoms:
As: 0.7401 0.7203 0.4802  3 Pa 2.88, 3 Sr 3.13
As: 0.2599 0.2797 0.5198  3 Pa 2.88, 3 Sr 3.13
As: 0.7432 0.7160 0.9796  1 Zr 2.84, 2 Pa 2.88, 3 Sr 3.14-3.18
As: 0.7636 0.2840 0.0204  1 Zr 2.84, 2 Pa 2.88, 3 Sr 3.14-3.18
As: 0.2364 0.7160 0.4728  1 Zr 2.84, 2 Pa 2.88, 3 Sr 3.14-3.18
As: 0.2568 0.2840 0.0204  1 Zr 2.84, 2 Pa 2.88, 3 Sr 3.14-3.18
As: 0.2364 0.7160 0.9796  1 Zr 2.84, 2 Pa 2.88, 3 Sr 3.14-3.18
As: 0.7636 0.2840 0.5272  1 Zr 2.84, 2 Pa 2.88, 3 Sr 3.14-3.18
Zr: 0.0000 0.5000 0.0000  6 As 2.84
Sr: 0.5000 0.0000 0.0000  6 As 3.18
Sr: 0.5000 0.0000 0.5000  6 As 3.13-3.14
Sr: 0.0000 0.0000 0.5000  6 As 3.13-3.14
Sr: 0.0000 0.0000 0.0000  6 As 3.13-3.14
Pa: 0.0000 0.5000 0.5000  6 As 2.88
Pa: 0.5000 0.5000 0.0000  6 As 2.88
Pa: 0.5000 0.5000 0.5000  6 As 2.88

Calculated values
The formation energy is -1.15 eV per atom. For the density of states at the Fermi level, the calculation gives 14.02 states/eV/f.u.